[1]
A relaxed structure of CeZnHgGe. Source: the Alexandria database, functional PBE-GGA.

```
CeZnHgGe
1.0
0.000 3.533 3.533
3.533 0.000 3.533
3.533 3.533 0.000
Ce Zn Hg Ge
1 1 1 1
Direct
0.000 0.000 0.000
0.500 0.500 0.500
0.250 0.250 0.250
0.750 0.750 0.750
```

Magnetization, μB per atom: 0.122


[2]
A relaxed structure of Ce5HoGe5. Source: the Alexandria database, functional PBE-GGA.

```
Ce5HoGe5
1.0
6.614 -2.964 0.000
6.614 2.964 0.000
-2.621 0.000 7.920
Ce Ho Ge
5 1 5
Direct
0.000 0.000 0.000
0.334 0.334 0.667
0.336 0.336 0.167
0.664 0.664 0.833
0.666 0.666 0.333
0.000 0.000 0.500
0.167 0.167 0.836
0.168 0.168 0.331
0.500 0.500 0.500
0.832 0.832 0.669
0.833 0.833 0.164
```

Magnetization, μB per atom: 0.175


[3]
A relaxed structure of Ce2HoGe. Source: the Alexandria database, functional PBE-GGA.

```
Ce2HoGe
1.0
3.987 0.000 0.000
0.000 3.987 0.000
0.000 0.000 6.808
Ce Ho Ge
2 1 1
Direct
0.000 0.000 0.197
0.000 0.000 0.803
0.500 0.500 0.500
0.500 0.500 0.000
```

Magnetization, μB per atom: 0.387
Energy relative to the lowest polymorph listed for this composition, eV/f.u.: 0.54


[4]
A relaxed structure of Ce2HoGe3. Source: the Alexandria database, functional PBE-GGA.

```
Ce2HoGe3
1.0
-2.103 2.975 6.300
2.103 -2.975 6.300
2.103 2.975 -6.300
Ce Ho Ge
2 1 3
Direct
0.166 0.166 0.000
0.834 0.834 0.000
0.500 0.500 0.000
0.000 0.500 0.500
0.333 0.833 0.500
0.667 0.167 0.500
```

Magnetization, μB per atom: 0.000


[5]
A relaxed structure of Ce2HoGe. Source: the Alexandria database, functional PBE-GGA.

```
Ce2HoGe
1.0
1.614 0.932 11.382
-1.614 0.932 11.382
0.000 -1.864 11.382
Ce Ho Ge
2 1 1
Direct
0.093 0.093 0.093
0.907 0.907 0.907
0.000 0.000 0.000
0.500 0.500 0.500
```

Magnetization, μB per atom: 0.000
Energy relative to the lowest polymorph listed for this composition, eV/f.u.: 1.92


[6]
A relaxed structure of Ce2Ho2Ge. Source: the Alexandria database, functional PBE-GGA.

```
Ce2Ho2Ge
1.0
-2.093 2.093 8.756
2.093 -2.093 8.756
2.093 2.093 -8.756
Ce Ho Ge
2 2 1
Direct
0.078 0.078 0.000
0.922 0.922 0.000
0.250 0.750 0.500
0.750 0.250 0.500
0.500 0.500 0.000
```

Magnetization, μB per atom: 0.478


[7]
A relaxed structure of Ce2HoGe. Source: the Alexandria database, functional PBE-GGA.

```
Ce2HoGe
1.0
4.373 0.000 0.000
0.000 4.373 0.000
0.000 0.000 5.050
Ce Ho Ge
2 1 1
Direct
0.000 0.500 0.000
0.500 0.000 0.000
0.000 0.000 0.500
0.500 0.500 0.500
```

Magnetization, μB per atom: 0.076
Energy relative to the lowest polymorph listed for this composition, eV/f.u.: 0.33


[8]
A relaxed structure of Ce2HoGe2. Source: the Alexandria database, functional PBE-GGA.

```
Ce2HoGe2
1.0
5.838 0.000 0.000
0.000 4.822 0.000
-2.467 0.000 9.070
Ce Ho Ge
4 2 4
Direct
0.130 0.250 0.017
0.230 0.750 0.369
0.770 0.250 0.631
0.870 0.750 0.983
0.275 0.750 0.752
0.725 0.250 0.248
0.234 0.250 0.545
0.422 0.750 0.106
0.578 0.250 0.894
0.766 0.750 0.455
```

Magnetization, μB per atom: 0.111
Energy relative to the lowest polymorph listed for this composition, eV/f.u.: 1.12


Number 1: total DFT energy (no corrections) -3.29 eV per atom, formation energy -1.0 eV/f.u.. Number 2: total DFT energy (no corrections) -5.77 eV per atom, formation energy -6.1 eV/f.u.. Number 3: total DFT energy (no corrections) -5.59 eV per atom, formation energy -1.3 eV/f.u.. Number 4: total DFT energy (no corrections) -5.70 eV per atom, formation energy -3.9 eV/f.u.. Number 5: total DFT energy (no corrections) -5.25 eV per atom, formation energy 0.1 eV/f.u.. Number 6: total DFT energy (no corrections) -4.89 eV per atom, formation energy 1.2 eV/f.u.. Number 7: total DFT energy (no corrections) -5.64 eV per atom, formation energy -1.5 eV/f.u.. Number 8: total DFT energy (no corrections) -5.64 eV per atom, formation energy -2.5 eV/f.u..